Y12Co3Rh5 | the Alexandria database | PBE | optimized geometry; SG = No. 230; energy relative to the elements = -19.4 meV/atom; raw total energy = -6.802 eV per atom
1.0
14.141 0.000 0.000
-4.714 13.333 0.000
-4.714 -6.666 11.546
Y Co Rh
48 12 20
Cartesian
-2.411 -5.278 11.004 Y
7.613 -0.848 2.552 Y
2.849 8.449 0.932 Y
-5.206 0.085 9.536 Y
1.865 1.698 10.468 Y
6.529 7.366 6.315 Y
0.054 4.497 4.841 Y
-4.768 9.775 4.299 Y
2.303 8.836 4.841 Y
-3.734 11.237 1.474 Y
7.125 3.558 4.299 Y
-4.172 5.967 6.315 Y
10.407 3.105 3.221 Y
3.337 5.658 4.695 Y
-5.694 3.562 8.325 Y
6.091 10.228 3.221 Y
5.694 -1.009 6.852 Y
1.377 1.009 6.852 Y
2.411 -2.169 6.705 Y
1.865 -1.783 10.615 Y
7.125 11.944 0.542 Y
5.206 -1.698 10.468 Y
8.886 0.699 5.231 Y
8.448 -4.570 10.073 Y
1.815 5.120 7.783 Y
-4.660 5.278 11.004 Y
9.482 -3.108 7.247 Y
-0.492 4.883 0.932 Y
-2.411 3.108 7.247 Y
9.373 1.389 0.542 Y
5.256 5.819 8.994 Y
-0.542 0.848 2.552 Y
-1.377 4.570 10.073 Y
-1.815 -0.699 5.231 Y
6.579 6.751 2.010 Y
2.899 1.547 3.763 Y
4.660 2.169 6.705 Y
4.172 -1.547 3.763 Y
9.920 6.582 2.010 Y
-1.865 -0.085 9.536 Y
2.849 4.968 1.078 Y
6.091 2.096 1.474 Y
-2.899 7.514 8.994 Y
-0.980 7.675 4.695 Y
5.206 1.783 10.615 Y
0.542 8.213 7.783 Y
-0.492 8.365 1.078 Y
-1.377 -3.562 8.325 Y
-5.892 6.666 8.660 Co
3.535 0.000 8.660 Co
8.249 4.166 1.443 Co
1.178 -0.833 4.330 Co
3.535 7.500 7.217 Co
-1.178 5.833 7.217 Co
8.249 9.166 1.443 Co
-3.535 -2.500 10.103 Co
5.892 0.833 4.330 Co
-3.535 2.500 10.103 Co
1.178 6.666 2.887 Co
10.606 0.000 2.887 Co
4.714 -3.333 5.773 Rh
5.892 3.333 8.660 Rh
-1.178 0.833 7.217 Rh
5.892 5.833 4.330 Rh
-1.178 10.833 1.443 Rh
0.000 0.000 0.000 Rh
1.178 4.166 10.103 Rh
4.714 6.666 0.000 Rh
-4.714 3.333 5.773 Rh
-3.535 7.500 4.330 Rh
-2.357 -3.333 5.773 Rh
-2.357 6.666 0.000 Rh
3.535 2.500 1.443 Rh
7.071 0.000 0.000 Rh
3.535 10.000 2.887 Rh
1.178 -3.333 8.660 Rh
5.892 -4.166 10.103 Rh
2.357 3.333 5.773 Rh
-1.178 3.333 2.887 Rh
8.249 -0.833 7.217 Rh



TcOs2 | the Alexandria database | PBE | optimized geometry; SG = No. 123; energy relative to the elements = 1131.9 meV/atom; distance to the lowest polymorph of the same formula = 116.2 kJ/mol of atoms; raw total energy = -9.810 eV per atom
1.0
-3.230 -1.896 2.172
2.880 -2.266 2.305
0.082 2.027 1.890
Tc Os
1 2
Cartesian
0.000 0.000 0.000 Tc
1.481 -0.120 2.098 Os
-1.574 0.065 2.031 Os



TePbS2O8 | the Alexandria database | PBE | optimized geometry; SG = No. 148; raw total energy = -5.612 eV per atom
1.0
-1.877 2.884 3.501
-4.481 -0.908 1.787
1.260 -4.343 7.693
S Pb O Te
2 1 8 1
Cartesian
-3.910 -1.647 9.584 S
-1.187 -0.721 3.398 S
-2.549 -1.184 6.491 Pb
-0.549 -1.282 8.628 O
-1.925 0.380 4.094 O
-3.173 -2.748 8.888 O
-1.104 -3.697 6.908 O
-3.994 1.330 6.074 O
-0.587 -1.609 4.452 O
-4.510 -0.758 8.530 O
-4.549 -1.085 4.353 O
0.000 0.000 0.000 Te



Sr2HRhSe | the Alexandria database | PBE | optimized geometry; SG = No. 123; distance to the lowest polymorph of the same formula = 0.0 kJ/mol of atoms; raw total energy = -4.387 eV per atom
1.0
5.388 0.000 0.000
0.000 5.388 0.000
0.000 0.000 3.647
Se Sr H Rh
1 2 1 1
Cartesian
2.694 2.694 1.823 Se
0.000 2.694 0.000 Sr
2.694 0.000 0.000 Sr
0.000 0.000 0.000 H
0.000 0.000 1.823 Rh



Quick rundown of magnetic moment, same order as above: 0.0, 0.0, 2.0, 0.0 μB/cell